1.
## Li13Si4 (PBEsol)

Data for a relaxed Li13Si4 crystal.

Lattice parameters (Å, degrees): 4.3824 7.8708 14.9699 90.00 90.00 90.00
Positions (direct):
Li: 0.0000 0.1537 0.9746
Li: 0.0000 0.8463 0.0254
Li: 0.0000 0.3463 0.4746
Li: 0.0000 0.6537 0.5254
Li: 0.0000 0.0000 0.5000
Li: 0.0000 0.5000 0.0000
Li: 0.0000 0.0953 0.8061
Li: 0.0000 0.9047 0.1939
Li: 0.0000 0.4047 0.3061
Li: 0.0000 0.5953 0.6939
Li: 0.0000 0.2686 0.6545
Li: 0.0000 0.7314 0.3455
Li: 0.0000 0.2314 0.1545
Li: 0.0000 0.7686 0.8455
Li: 0.5000 0.2588 0.9050
Li: 0.5000 0.7412 0.0950
Li: 0.5000 0.2412 0.4050
Li: 0.5000 0.7588 0.5950
Li: 0.5000 0.4080 0.7445
Li: 0.5000 0.5920 0.2555
Li: 0.5000 0.0920 0.2445
Li: 0.5000 0.9080 0.7555
Li: 0.5000 0.0955 0.6059
Li: 0.5000 0.9045 0.3941
Li: 0.5000 0.4045 0.1059
Li: 0.5000 0.5955 0.8941
Si: 0.5000 0.4276 0.5692
Si: 0.5000 0.5724 0.4308
Si: 0.5000 0.0724 0.0692
Si: 0.5000 0.9276 0.9308
Si: 0.0000 0.4167 0.8398
Si: 0.0000 0.5833 0.1602
Si: 0.0000 0.0833 0.3398
Si: 0.0000 0.9167 0.6602

Computed properties:
symmetry: Pbam, No. 55
uncorrected energy: -3.11 eV per atom
magnetization: 0.0 μB/cell

=====

2.
## LiSi3 (PBEsol)

Data for a relaxed LiSi3 crystal.

Lattice parameters (Å, degrees): 2.6965 2.6965 8.8776 90.00 90.00 120.00
Positions (direct):
Si: 0.0000 0.0000 0.5000
Si: 0.3333 0.6667 0.7540
Si: 0.3333 0.6667 0.2460
Li: 0.0000 0.0000 0.0000

Computed properties:
symmetry: P-6m2, No. 187
uncorrected energy: -4.61 eV per atom
magnetization: 0.0 μB/cell
excess energy over the best structure of this formula in the dataset: 0.090 eV/atom

=====

3.
## Li7Si2 (PBEsol)

Data for a relaxed Li7Si2 crystal.

Lattice parameters (Å, degrees): 4.4345 7.9933 14.7908 90.00 90.00 90.00
Positions (direct):
Li: 0.0000 0.0000 0.0000
Li: 0.0000 0.5000 0.5000
Li: 0.5000 0.5000 0.0000
Li: 0.5000 0.0000 0.5000
Li: 0.5000 0.1210 0.6442
Li: 0.5000 0.8790 0.3558
Li: 0.5000 0.3790 0.1442
Li: 0.5000 0.6210 0.8558
Li: 0.5000 0.2334 0.8977
Li: 0.5000 0.7666 0.1023
Li: 0.5000 0.2666 0.3977
Li: 0.5000 0.7334 0.6023
Li: 0.5000 0.4133 0.7430
Li: 0.5000 0.5867 0.2570
Li: 0.5000 0.0867 0.2430
Li: 0.5000 0.9133 0.7570
Li: 0.0000 0.3257 0.0132
Li: 0.0000 0.6743 0.9868
Li: 0.0000 0.1743 0.5132
Li: 0.0000 0.8257 0.4868
Li: 0.0000 0.1128 0.8126
Li: 0.0000 0.8872 0.1874
Li: 0.0000 0.3872 0.3126
Li: 0.0000 0.6128 0.6874
Li: 0.0000 0.2941 0.6682
Li: 0.0000 0.7059 0.3318
Li: 0.0000 0.2059 0.1682
Li: 0.0000 0.7941 0.8318
Si: 0.5000 0.3997 0.5645
Si: 0.5000 0.6003 0.4355
Si: 0.5000 0.1003 0.0645
Si: 0.5000 0.8997 0.9355
Si: 0.0000 0.4416 0.8468
Si: 0.0000 0.5584 0.1532
Si: 0.0000 0.0584 0.3468
Si: 0.0000 0.9416 0.6532

Computed properties:
symmetry: Pbam, No. 55
uncorrected energy: -3.03 eV per atom
magnetization: 0.0 μB/cell

=====

4.
## Li5Si (PBEsol)

Data for a relaxed Li5Si crystal.

Lattice parameters (Å, degrees): 4.5271 4.5434 5.0195 63.09 90.00 90.00
Positions (direct):
Si: 0.0000 0.5000 0.0000
Li: 0.5000 0.3534 0.2932
Li: 0.0000 0.1669 0.6662
Li: 0.5000 0.0000 0.0000
Li: 0.0000 0.8331 0.3338
Li: 0.5000 0.6466 0.7068

Computed properties:
symmetry: Cmmm, No. 65
uncorrected energy: -2.75 eV per atom
magnetization: 0.0 μB/cell
excess energy over the best structure of this formula in the dataset: 0.000 eV/atom

=====

5.
## Li2Sm2Si3 (PBEsol)

Data for a relaxed Li2Sm2Si3 crystal.

Lattice parameters (Å, degrees): 4.3033 6.6852 9.3222 90.00 103.34 90.00
Positions (direct):
Li: 0.8109 0.5607 0.6219
Li: 0.1891 0.4393 0.3781
Li: 0.1891 0.0607 0.3781
Li: 0.8109 0.9393 0.6219
Sm: 0.5514 0.2500 0.1028
Sm: 0.4486 0.7500 0.8972
Sm: 0.3425 0.2500 0.6851
Sm: 0.6575 0.7500 0.3149
Si: 0.9411 0.0729 0.8822
Si: 0.0589 0.9271 0.1178
Si: 0.0589 0.5729 0.1178
Si: 0.9411 0.4271 0.8822
Si: 0.7199 0.2500 0.4398
Si: 0.2801 0.7500 0.5602

Computed properties:
symmetry: Cmcm, No. 63
uncorrected energy: -5.14 eV per atom
magnetization: 0.0 μB/cell

=====

6.
## Li2Si2Sn (PBEsol)

Data for a relaxed Li2Si2Sn crystal.

Lattice parameters (Å, degrees): 2.8620 7.6423 7.6423 90.00 90.00 90.00
Positions (direct):
Si: 0.0000 0.3908 0.8908
Si: 0.0000 0.8908 0.6092
Si: 0.0000 0.6092 0.1092
Si: 0.0000 0.1092 0.3908
Sn: 0.0000 0.0000 0.0000
Sn: 0.0000 0.5000 0.5000
Li: 0.5000 0.1866 0.6866
Li: 0.5000 0.6866 0.8134
Li: 0.5000 0.8134 0.3134
Li: 0.5000 0.3134 0.1866

Computed properties:
symmetry: P4/mbm, No. 127
uncorrected energy: -4.02 eV per atom
magnetization: 0.0 μB/cell

=====

Q: Among the records above, which one has the highest uncorrected energy?
A: Li5Si

=====

What did the sixth record say?
## Li2Si2Sn (PBEsol)

Data for a relaxed Li2Si2Sn crystal.

Lattice parameters (Å, degrees): 2.8620 7.6423 7.6423 90.00 90.00 90.00
Positions (direct):
Si: 0.0000 0.3908 0.8908
Si: 0.0000 0.8908 0.6092
Si: 0.0000 0.6092 0.1092
Si: 0.0000 0.1092 0.3908
Sn: 0.0000 0.0000 0.0000
Sn: 0.0000 0.5000 0.5000
Li: 0.5000 0.1866 0.6866
Li: 0.5000 0.6866 0.8134
Li: 0.5000 0.8134 0.3134
Li: 0.5000 0.3134 0.1866

Computed properties:
symmetry: P4/mbm, No. 127
uncorrected energy: -4.02 eV per atom
magnetization: 0.0 μB/cell